Here is CuMoPb2O6 after structural relaxation from the Alexandria database. Energies are from GGA+U.

Cell lengths 5.3836, 5.3592, 10.7961 Å; angles 90.00, 118.77, 90.00 degrees
Space group P2_1/c (No. 14)
Symmetry-distinct sites (fractional):
1 Cu 0.0000 0.0000 0.0000
2 Mo 0.5000 0.0000 0.5000
3 Pb 0.2490 0.0151 0.7576
4 O 0.1646 0.7028 0.9559
5 O 0.2945 0.2013 0.9956
6 O 0.3646 0.0431 0.2952

- Total energy: -6.0032 eV/atom